Entry 1:
Material: Zr3PPd
Method: DFT, PBE
State: optimized geometry

Output
- SG: No. 221
- Density of states at the Fermi level: 3.43 states/eV per cell
- Energy above the most stable polymorph in this dataset: 0.000 eV per atom

Cell lengths 4.824, 4.824, 4.824 Å; angles 90.00, 90.00, 90.00 degrees
Positions (direct):
Zr: 0.000 0.000 0.500
Zr: 0.000 0.500 0.000
Zr: 0.500 0.000 0.000
P: 0.000 0.000 0.000
Pd: 0.500 0.500 0.500

---

Entry 2:
Material: Hf3Cu8
Method: DFT, PBE
State: optimized geometry

Output
- SG: No. 62
- Density of states at the Fermi level: 25.89 states/eV per cell
- Energy: -257.999 eV for the cell shown

Cell lengths 7.842, 8.126, 9.966 Å; angles 90.00, 90.00, 90.00 degrees
Positions (direct):
Hf: 0.038 0.250 0.047
Hf: 0.062 0.554 0.640
Hf: 0.062 0.946 0.640
Hf: 0.438 0.054 0.140
Hf: 0.438 0.446 0.140
Hf: 0.462 0.750 0.547
Hf: 0.538 0.250 0.453
Hf: 0.562 0.554 0.860
Hf: 0.562 0.946 0.860
Hf: 0.938 0.054 0.360
Hf: 0.938 0.446 0.360
Hf: 0.962 0.750 0.953
Cu: 0.116 0.750 0.404
Cu: 0.122 0.575 0.160
Cu: 0.122 0.925 0.160
Cu: 0.130 0.250 0.766
Cu: 0.176 0.250 0.517
Cu: 0.198 0.000 0.907
Cu: 0.198 0.500 0.907
Cu: 0.216 0.250 0.272
Cu: 0.284 0.750 0.772
Cu: 0.302 0.000 0.407
Cu: 0.302 0.500 0.407
Cu: 0.324 0.750 0.017
Cu: 0.370 0.750 0.266
Cu: 0.378 0.075 0.660
Cu: 0.378 0.425 0.660
Cu: 0.384 0.250 0.904
Cu: 0.616 0.750 0.096
Cu: 0.622 0.575 0.340
Cu: 0.622 0.925 0.340
Cu: 0.630 0.250 0.734
Cu: 0.676 0.250 0.983
Cu: 0.698 0.000 0.593
Cu: 0.698 0.500 0.593
Cu: 0.716 0.250 0.228
Cu: 0.784 0.750 0.728
Cu: 0.802 0.000 0.093
Cu: 0.802 0.500 0.093
Cu: 0.824 0.750 0.483
Cu: 0.870 0.750 0.234
Cu: 0.878 0.075 0.840
Cu: 0.878 0.425 0.840
Cu: 0.884 0.250 0.596

---

Entry 3:
Material: Tl2SnAs
Method: DFT, PBE
State: optimized geometry

Output
- SG: No. 225
- Density of states at the Fermi level: 15.33 states/eV per cell
- Energy above the most stable polymorph in this dataset: 0.228 eV per atom

Cell lengths 7.580, 7.580, 7.580 Å; angles 90.00, 90.00, 90.00 degrees
Positions (direct):
Tl: 0.250 0.250 0.250
Tl: 0.250 0.250 0.750
Tl: 0.250 0.750 0.250
Tl: 0.250 0.750 0.750
Tl: 0.750 0.250 0.250
Tl: 0.750 0.250 0.750
Tl: 0.750 0.750 0.250
Tl: 0.750 0.750 0.750
Sn: 0.000 0.000 0.000
Sn: 0.000 0.500 0.500
Sn: 0.500 0.000 0.500
Sn: 0.500 0.500 0.000
As: 0.000 0.000 0.500
As: 0.000 0.500 0.000
As: 0.500 0.000 0.000
As: 0.500 0.500 0.500

---

Entry 4:
Material: BS2I
Method: DFT, PBE
State: optimized geometry

Output
- SG: No. 225
- Density of states at the Fermi level: 10.29 states/eV per cell
- Energy above the most stable polymorph in this dataset: 1.397 eV per atom
- Energy relative to the elements, uncorrected: 6.7 eV/f.u.

Cell lengths 6.636, 6.636, 6.636 Å; angles 90.00, 90.00, 90.00 degrees
Positions (direct):
B: 0.000 0.000 0.000
B: 0.000 0.500 0.500
B: 0.500 0.000 0.500
B: 0.500 0.500 0.000
S: 0.250 0.250 0.250
S: 0.250 0.250 0.750
S: 0.250 0.750 0.250
S: 0.250 0.750 0.750
S: 0.750 0.250 0.250
S: 0.750 0.250 0.750
S: 0.750 0.750 0.250
S: 0.750 0.750 0.750
I: 0.000 0.000 0.500
I: 0.000 0.500 0.000
I: 0.500 0.000 0.000
I: 0.500 0.500 0.500

---

Repeat the fourth record exactly.
Material: BS2I
Method: DFT, PBE
State: optimized geometry

Output
- SG: No. 225
- Density of states at the Fermi level: 10.29 states/eV per cell
- Energy above the most stable polymorph in this dataset: 1.397 eV per atom
- Energy relative to the elements, uncorrected: 6.7 eV/f.u.

Cell lengths 6.636, 6.636, 6.636 Å; angles 90.00, 90.00, 90.00 degrees
Positions (direct):
B: 0.000 0.000 0.000
B: 0.000 0.500 0.500
B: 0.500 0.000 0.500
B: 0.500 0.500 0.000
S: 0.250 0.250 0.250
S: 0.250 0.250 0.750
S: 0.250 0.750 0.250
S: 0.250 0.750 0.750
S: 0.750 0.250 0.250
S: 0.750 0.250 0.750
S: 0.750 0.750 0.250
S: 0.750 0.750 0.750
I: 0.000 0.000 0.500
I: 0.000 0.500 0.000
I: 0.500 0.000 0.000
I: 0.500 0.500 0.500